# DyCuTe2ClO6 (PBEsol, relaxed)
data_DyCuTe2ClO6
_chemical_formula_sum 'Dy4 Cu4 Te8 Cl4 O24'
_cell_length_a 5.375
_cell_length_b 14.662
_cell_length_c 9.098
_cell_angle_alpha 90.00
_cell_angle_beta 100.52
_cell_angle_gamma 90.00
_symmetry_space_group_name_H-M 'P 1 21/c 1'
_symmetry_Int_Tables_number 14
loop_
_symmetry_equiv_pos_as_xyz
'x,y,z'
'-x,-y,-z'
'-x,y+1/2,-z+1/2'
'x,-y+1/2,z+1/2'
loop_
_atom_site_label
_atom_site_fract_x
_atom_site_fract_y
_atom_site_fract_z
Dy1 0.247 0.087 0.474
Cu1 0.228 0.223 0.173
Te1 0.241 0.657 0.778
Te2 0.283 0.589 0.301
Cl1 0.217 0.098 0.948
O1 0.005 0.176 0.599
O2 0.034 0.681 0.226
O3 0.130 0.517 0.137
O4 0.375 0.546 0.871
O5 0.460 0.139 0.293
O6 0.489 0.218 0.590
# - Size of the total moment: 4.003 μB/cell
# - Energy relative to the elements, uncorrected: -1.566 eV/atom